# 1
Entry from Alexandria: Ba6In2Ag after structural relaxation (PBE).

The formation energy comes out at -0.19 eV per atom. The value obtained for the magnetization is 0.00 Bohr magnetons per cell. The energy relative to the lowest polymorph listed for this composition is 0.0115 eV/atom. As for the crystal system: orthorhombic. As for the density: 4.626 g cm⁻³.

The space group is Immm (No. 71) and the conventional cell measures 11.823, 11.844 and 11.911 Å, with angles of 90.00, 90.00 and 90.00 degrees. The inequivalent atoms are Ba at (0.000, 0.216, 0.168), Ba at (0.166, 0.256, 0.500), Ba at (0.209, 0.500, 0.236), In at (0.000, 0.000, 0.378), In at (0.134, 0.000, 0.000), Ag at (0.000, 0.500, 0.000) and Ag at (0.000, 0.500, 0.500).



# 2
Entry from Alexandria: Ba2InAg3 after structural relaxation (PBE).

The formation energy comes out at -0.28 eV per atom. The value obtained for the magnetization is 0.00 Bohr magnetons per cell. The energy relative to the lowest polymorph listed for this composition is 0.0100 eV/atom. As for the crystal system: orthorhombic. As for the density: 6.176 g cm⁻³.

The space group is Fmmm (No. 69) and the conventional cell measures 8.988, 9.956 and 17.141 Å, with angles of 90.00, 90.00 and 90.00 degrees. The inequivalent atoms are Ba at (0.244, 0.000, 0.000), Ba at (0.250, 0.250, 0.250), In at (0.000, 0.000, 0.333), Ag at (0.000, 0.000, 0.166) and Ag at (0.000, 0.249, 0.417).



# 3
Entry from Alexandria: BaInAg2 after structural relaxation (PBE).

The formation energy comes out at -0.26 eV per atom. The value obtained for the magnetization is 0.00 Bohr magnetons per cell. As for the crystal system: hexagonal. As for the density: 6.584 g cm⁻³.

The space group is P6_3/mmc (No. 194) and the conventional cell measures 4.8824, 4.8824 and 11.4319 Å, with angles of 90.00, 90.00 and 120.00 degrees. The inequivalent atoms are Ba at (0.3333, 0.6667, 0.2500), In at (0.0000, 0.0000, 0.0000) and Ag at (0.3333, 0.6667, 0.5486).



# 4
Entry from Alexandria: Ba5In2Ag after structural relaxation (PBE).

The formation energy comes out at -0.26 eV per atom. The value obtained for the magnetization is 0.00 Bohr magnetons per cell. As for the crystal system: tetragonal. As for the density: 4.723 g cm⁻³.

The space group is I4/mcm (No. 140) and the conventional cell measures 8.974, 8.974 and 17.884 Å, with angles of 90.00, 90.00 and 90.00 degrees. The inequivalent atoms are Ba at (0.000, 0.000, 0.000), Ba at (0.171, 0.329, 0.146), In at (0.117, 0.383, 0.500) and Ag at (0.000, 0.000, 0.250).



# 5
Entry from Alexandria: Ba3InAg after structural relaxation (PBE).

The formation energy comes out at -0.19 eV per atom. The value obtained for the magnetization is 0.00 Bohr magnetons per cell. The energy relative to the lowest polymorph listed for this composition is 0.0698 eV/atom. As for the crystal system: monoclinic. As for the density: 4.767 g cm⁻³.

The space group is C2/c (No. 15) and the conventional cell measures 13.705, 12.374 and 10.640 Å, with angles of 90.00, 101.42 and 90.00 degrees. The inequivalent atoms are Ba at (0.059, 0.122, 0.093), Ba at (0.107, 0.411, 0.934), Ba at (0.229, 0.189, 0.668), In at (0.000, 0.140, 0.750), In at (0.000, 0.363, 0.250) and Ag at (0.178, 0.024, 0.382).



# 6
Entry from Alexandria: BaIn3Ag2 after structural relaxation (PBE).

The formation energy comes out at -0.25 eV per atom. The value obtained for the magnetization is 0.00 Bohr magnetons per cell. The energy relative to the lowest polymorph listed for this composition is 0.0188 eV/atom. As for the crystal system: orthorhombic. As for the density: 7.176 g cm⁻³.

The space group is Cmcm (No. 63) and the conventional cell measures 11.616, 9.500 and 5.851 Å, with angles of 90.00, 90.00 and 90.00 degrees. The inequivalent atoms are Ba at (0.000, 0.171, 0.250), In at (0.000, 0.440, 0.750), In at (0.186, 0.226, 0.750) and Ag at (0.220, 0.500, 0.000).



# 7
Entry from Alexandria: BaInAg2 after structural relaxation (PBE).

The formation energy comes out at -0.10 eV per atom. The value obtained for the magnetization is 0.00 Bohr magnetons per cell. As for the crystal system: tetragonal. As for the density: 6.947 g cm⁻³.

The space group is P4/mmm (No. 123) and the conventional cell measures 3.893, 3.893 and 7.379 Å, with angles of 90.00, 90.00 and 90.00 degrees. The inequivalent atoms are Ba at (0.000, 0.000, 0.000), In at (0.000, 0.000, 0.500) and Ag at (0.500, 0.500, 0.303).



# 8
Entry from Alexandria: Ba4InAg2 after structural relaxation (PBE).

The formation energy comes out at -0.24 eV per atom. The value obtained for the magnetization is 0.00 Bohr magnetons per cell. As for the crystal system: trigonal. As for the density: 5.037 g cm⁻³.

The space group is R-3m (No. 166, hexagonal axes) and the conventional cell measures 5.9221, 5.9221 and 28.6477 Å, with angles of 90.00, 90.00 and 120.00 degrees. The inequivalent atoms are Ba at (0.0000, 0.0000, 0.1242), Ba at (0.0000, 0.0000, 0.3748), In at (0.0000, 0.0000, 0.0000) and Ag at (0.0000, 0.0000, 0.2498).